The following is a PBE-GGA calculation of NaSmNpO6 after structural relaxation, from Alexandria.

Values from the calculation:
- SG: P-31c
- N(E_F): 19.658 states/eV/cell
- ΔE_f (raw): -2113 kJ/mol of formula units
- Calculated total energy: -141.3 eV/cell

POSCAR file:
```
NaSmNpO6
1.0
5.664 0.000 0.000
-2.832 4.905 0.000
0.000 0.000 9.793
Na Sm Np O
2 2 2 12
direct
0.333 0.667 0.250
0.667 0.333 0.750
0.000 0.000 0.000
0.000 0.000 0.500
0.667 0.333 0.250
0.333 0.667 0.750
0.682 0.631 0.134
0.950 0.318 0.134
0.318 0.950 0.634
0.050 0.682 0.866
0.369 0.318 0.366
0.950 0.631 0.366
0.631 0.950 0.866
0.682 0.050 0.366
0.050 0.369 0.634
0.369 0.050 0.134
0.631 0.682 0.634
0.318 0.369 0.866
```

The following is a PBE-GGA calculation of Na2SmNpO4 after structural relaxation, from Alexandria.

Values from the calculation:
- SG: P2/m
- N(E_F): 7.740 states/eV/cell
- ΔE_f (raw): -1879 kJ/mol of formula units
- Calculated total energy: -59.6 eV/cell

POSCAR file:
```
Na2SmNpO4
1.0
3.519 0.000 0.000
0.000 6.061 0.097
0.000 -2.123 5.629
Na Sm Np O
2 1 1 4
direct
0.500 0.000 0.500
0.000 0.500 0.500
0.000 0.000 0.000
0.500 0.500 0.000
0.500 0.242 0.218
0.500 0.758 0.782
0.000 0.268 0.784
0.000 0.732 0.216
```

The following is a PBE-GGA calculation of Na2SmNpO6 after structural relaxation, from Alexandria.

Values from the calculation:
- SG: P2_1/c
- ΔE_f (raw): -2508 kJ/mol of formula units
- Calculated total energy: -152.1 eV/cell

POSCAR file:
```
Na2SmNpO6
1.0
5.812 0.000 -0.019
0.000 5.977 0.000
0.024 0.000 8.350
Na Sm Np O
4 2 2 12
direct
0.007 0.962 0.253
0.507 0.538 0.753
0.993 0.038 0.747
0.493 0.462 0.247
0.500 0.000 0.000
0.000 0.500 0.500
0.500 0.000 0.500
0.000 0.500 0.000
0.286 0.681 0.050
0.786 0.819 0.550
0.714 0.319 0.950
0.214 0.181 0.450
0.325 0.717 0.442
0.825 0.783 0.942
0.675 0.283 0.558
0.175 0.217 0.058
0.898 0.542 0.231
0.398 0.958 0.731
0.102 0.458 0.769
0.602 0.042 0.269
```

The following is a PBE-GGA calculation of Na4Sm3NpO8 after structural relaxation, from Alexandria.

Values from the calculation:
- SG: R-3m
- N(E_F): 6.366 states/eV/cell
- ΔE_f (raw): -3937 kJ/mol of formula units
- Calculated total energy: -112.8 eV/cell

POSCAR file:
```
Na4Sm3NpO8
1.0
-0.768 -6.986 -0.385
2.487 0.085 -6.500
3.702 2.848 5.266
Na Sm Np O
4 3 1 8
direct
0.500 0.000 0.000
0.500 0.000 0.500
0.000 0.000 0.000
0.000 0.000 0.500
0.500 0.500 0.000
0.500 0.500 0.500
0.000 0.500 0.500
0.000 0.500 0.000
0.237 0.717 0.980
0.237 0.717 0.474
0.262 0.285 0.523
0.743 0.717 0.980
0.257 0.283 0.020
0.738 0.715 0.477
0.763 0.283 0.526
0.763 0.283 0.020
```